# 1
{"formula": "Ba3SrSb2P", "functional": "PBE-GGA", "state": "optimized geometry", "final_energy_ev_per_cell": -27.34, "crystal_system": "orthorhombic", "e_form_raw_mev_per_atom": -890.7, "lattice_angstrom": [[5.7118, 0.0000, 0.0000], [0.0000, 5.8377, 0.0000], [-2.8559, -2.9188, 9.0691]], "species": ["Sb", "Sb", "Ba", "Ba", "Ba", "P", "Sr"], "frac_coords": [[0.6305, 0.6305, 0.2609], [0.3695, 0.3695, 0.7391], [0.8240, 0.8240, 0.6479], [0.1760, 0.1760, 0.3521], [0.0000, 0.5000, 0.0000], [0.0000, 0.0000, 0.0000], [0.5000, 0.0000, 0.0000]]}

# 2
{"formula": "LuCo4Ir", "functional": "PBE-GGA", "state": "optimized geometry", "final_energy_ev_per_cell": -42.93, "crystal_system": "cubic", "e_form_ev_per_fu": -1.13, "lattice_angstrom": [[-0.1046, 0.1752, -4.8462], [4.0004, -1.0101, -2.5503], [0.2602, -4.0984, -2.5812]], "species": ["Co", "Co", "Co", "Co", "Ir", "Lu"], "frac_coords": [[0.1252, 0.6249, 0.6249], [0.6249, 0.1252, 0.6249], [0.6249, 0.6249, 0.1252], [0.6249, 0.6249, 0.6249], [0.2500, 0.2500, 0.2500], [0.0000, 0.0000, 0.0000]]}

# 3
{"formula": "RePdN", "functional": "PBE-GGA", "state": "optimized geometry", "final_energy_ev_per_cell": -49.49, "crystal_system": "triclinic", "e_form_raw_mev_per_atom": 407.1, "lattice_angstrom": [[3.5108, -0.3820, -0.0039], [1.2886, 4.7943, 0.2466], [-0.2269, 3.0966, 4.8018]], "species": ["Pd", "Pd", "N", "N", "Re", "Re"], "frac_coords": [[0.3206, 0.7742, 0.2092], [0.6794, 0.2258, 0.7908], [0.1440, 0.3276, 0.3163], [0.8560, 0.6724, 0.6837], [0.3318, 0.8156, 0.7151], [0.6682, 0.1844, 0.2849]]}

# 4
{"formula": "La2Mg2Ga", "functional": "PBE-GGA", "state": "optimized geometry", "final_energy_ev_per_cell": -33.88, "crystal_system": "tetragonal", "e_form_ev_per_fu": -0.87, "lattice_angstrom": [[-3.1710, 6.2763, 1.8157], [-6.1598, -3.5448, 1.4955], [1.5765, -0.6418, 4.9720]], "species": ["La", "La", "La", "La", "Mg", "Mg", "Mg", "Mg", "Ga", "Ga"], "frac_coords": [[0.6676, 0.8324, 0.5000], [0.3324, 0.1676, 0.5000], [0.1676, 0.6676, 0.5000], [0.8324, 0.3324, 0.5000], [0.1415, 0.3585, 0.0000], [0.8585, 0.6415, 0.0000], [0.3585, 0.8585, 0.0000], [0.6415, 0.1415, 0.0000], [0.5000, 0.5000, 0.0000], [0.0000, 0.0000, 0.0000]]}

# 5
{"formula": "Zr5Sb2H2", "functional": "PBE-GGA", "state": "optimized geometry", "final_energy_ev_per_cell": -62.20, "crystal_system": "monoclinic", "lattice_angstrom": [[-2.5516, 1.3724, 2.2435], [-2.4245, -1.8807, -4.5994], [-1.0885, -7.7449, 3.4998]], "species": ["Zr", "Zr", "Zr", "Zr", "Zr", "Sb", "Sb", "H", "H"], "frac_coords": [[0.1379, 0.2758, 0.5553], [0.2745, 0.5490, 0.1672], [0.0000, 0.0000, 0.0000], [0.8621, 0.7242, 0.4447], [0.7255, 0.4510, 0.8328], [0.5568, 0.1135, 0.2790], [0.4432, 0.8865, 0.7210], [0.8093, 0.6186, 0.0491], [0.1907, 0.3814, 0.9509]]}

# 6
{"formula": "InGaN2", "functional": "PBE-GGA", "state": "optimized geometry", "final_energy_ev_per_cell": -21.09, "crystal_system": "trigonal", "e_form_raw_mev_per_atom": 332.6, "lattice_angstrom": [[2.0352, 0.0000, 5.7319], [-1.0176, 1.7625, 5.7319], [-1.0176, -1.7625, 5.7319]], "species": ["Ga", "In", "N", "N"], "frac_coords": [[0.0000, 0.0000, 0.0000], [0.5000, 0.5000, 0.5000], [0.8975, 0.8975, 0.8975], [0.1025, 0.1025, 0.1025]]}

# 7
{"formula": "Cs3U2TlSe6", "functional": "PBE-GGA", "state": "optimized geometry", "final_energy_ev_per_cell": -62.11, "crystal_system": "monoclinic", "e_form_raw_mev_per_atom": -1141.4, "lattice_angstrom": [[4.3493, 0.0000, 0.0000], [0.0000, 9.9230, 0.0377], [-2.1746, -3.1869, 9.8801]], "species": ["Cs", "Cs", "Cs", "U", "U", "Se", "Se", "Se", "Se", "Se", "Se", "Tl"], "frac_coords": [[0.5000, 0.5000, 0.0000], [0.1514, 0.8408, 0.3027], [0.8486, 0.1592, 0.6973], [0.1715, 0.3382, 0.3429], [0.8285, 0.6618, 0.6571], [0.0349, 0.2563, 0.0699], [0.3263, 0.8501, 0.6526], [0.6737, 0.1499, 0.3474], [0.9651, 0.7437, 0.9301], [0.3185, 0.4570, 0.6370], [0.6815, 0.5430, 0.3630], [0.5000, 0.0000, 0.0000]]}